A geometry-optimized HfPaI structure, computed with PBE-GGA.

## Properties
- E_form (uncorrected) (eV per atom) = -0.0648
- total energy (eV/atom) = -7.065
- volume (A^3/atom) = 30.02

a = 3.692 Å, b = 3.692 Å, c = 14.201 Å
α = 105.01°, β = 105.01°, γ = 90.00°
Atoms (fractional coordinates):
I (0.107, 0.107, 0.358)
Pa (0.549, 0.549, 0.798)
Hf (0.200, 0.200, 0.950)
Pa (0.451, 0.451, 0.202)
Hf (0.800, 0.800, 0.050)
I (0.893, 0.893, 0.642)

***

A geometry-optimized HfPb3I structure, computed with PBE-GGA.

## Properties
- E_form (uncorrected) (eV per atom) = 0.3125
- total energy (eV/atom) = -4.213
- volume (A^3/atom) = 37.95

a = 5.747 Å, b = 5.747 Å, c = 5.747 Å
α = 90.00°, β = 90.00°, γ = 90.00°
Atoms (fractional coordinates):
Pb (0.000, 0.500, 0.000)
Pb (0.000, 0.000, 0.500)
Pb (0.500, 0.000, 0.000)
Hf (0.000, 0.000, 0.000)
I (0.500, 0.500, 0.500)

***

Which of these has the highest total energy? HfPb3I

***

What is the formula in the second record? HfPb3I